First-principles (GGA-PBE) data for a geometry-optimized La6PrMg5 structure, as listed in the Alexandria database.

## Properties
Fermi-level density of states = 15.535 states/eV/cell
energy of formation from the pure elements = -0.0606 eV per atom

Geometry as CIF:
```
data_La6PrMg5
_chemical_formula_sum 'La6 Pr1 Mg5'
_cell_length_a 5.6498
_cell_length_b 8.0025
_cell_length_c 8.9826
_cell_angle_alpha 90.00
_cell_angle_beta 108.29
_cell_angle_gamma 90.00
_space_group_name_H-M_alt 'P 1 2/m 1'
_space_group_IT_number 10
loop_
_space_group_symop_operation_xyz
'x,y,z'
'-x,-y,-z'
'-x,y,-z'
'x,-y,z'
loop_
_atom_site_label
_atom_site_type_symbol
_atom_site_fract_x
_atom_site_fract_y
_atom_site_fract_z
_atom_site_occupancy
La1 La 0.0000 0.2340 0.0000 1
La2 La 0.3302 0.2446 0.6574 1
Pr1 Pr 0.5000 0.5000 0.0000 1
Mg1 Mg 0.1602 0.5000 0.3234 1
Mg2 Mg 0.1651 0.0000 0.3343 1
Mg3 Mg 0.5000 0.0000 0.0000 1
```